[1]
# Ba2CdHg | the Alexandria database | GGA-PBEsol | optimized geometry
data_Ba2CdHg
_chemical_formula_sum 'Ba2 Cd1 Hg1'
_cell_length_a 5.5576
_cell_length_b 5.5576
_cell_length_c 5.5593
_cell_angle_alpha 119.99
_cell_angle_beta 119.99
_cell_angle_gamma 90.00
_symmetry_space_group_name_H-M 'P 1'
_symmetry_Int_Tables_number 1
loop_
_symmetry_equiv_pos_as_xyz
'x,y,z'
loop_
_atom_site_label
_atom_site_fract_x
_atom_site_fract_y
_atom_site_fract_z
_atom_site_occupancy
Cd1 0.5000 0.5000 0.0000 1
Hg1 0.2500 0.7500 0.5000 1
Ba1 0.0000 0.0000 0.0000 1
Ba2 0.7500 0.2500 0.5000 1
# D(E_F) (states/eV per atom): 0.107
# VASP energy (eV per atom): -1.82
# Polymorph energy (0 for the lowest one) (eV per formula unit): 0.50
# Energy of formation (kcal/mol of atoms): -6.953


[2]
# Ba2CdHg | the Alexandria database | GGA-PBEsol | optimized geometry
data_Ba2CdHg
_chemical_formula_sum 'Ba2 Cd1 Hg1'
_cell_length_a 4.0203
_cell_length_b 5.7804
_cell_length_c 6.6219
_cell_angle_alpha 110.25
_cell_angle_beta 107.67
_cell_angle_gamma 90.00
_symmetry_space_group_name_H-M 'P 1'
_symmetry_Int_Tables_number 1
loop_
_symmetry_equiv_pos_as_xyz
'x,y,z'
loop_
_atom_site_label
_atom_site_fract_x
_atom_site_fract_y
_atom_site_fract_z
_atom_site_occupancy
Hg1 0.2195 0.7494 0.4389 1
Ba1 0.9693 0.9473 0.9385 1
Ba2 0.7752 0.2954 0.5505 1
Cd1 0.5361 0.5079 0.0721 1
# D(E_F) (states/eV per atom): 0.774
# VASP energy (eV per atom): -1.87
# Polymorph energy (0 for the lowest one) (eV per formula unit): 0.28
# Energy of formation (kcal/mol of atoms): -8.183


[3]
# BaCdHg4 | the Alexandria database | GGA-PBEsol | optimized geometry
data_BaCdHg4
_chemical_formula_sum 'Ba1 Cd1 Hg4'
_cell_length_a 6.0800
_cell_length_b 6.0800
_cell_length_c 6.0800
_cell_angle_alpha 60.00
_cell_angle_beta 60.00
_cell_angle_gamma 60.00
_symmetry_space_group_name_H-M 'P 1'
_symmetry_Int_Tables_number 1
loop_
_symmetry_equiv_pos_as_xyz
'x,y,z'
loop_
_atom_site_label
_atom_site_fract_x
_atom_site_fract_y
_atom_site_fract_z
_atom_site_occupancy
Ba1 0.7500 0.7500 0.7500 1
Hg1 0.3743 0.3743 0.3743 1
Hg2 0.3743 0.3743 0.8771 1
Hg3 0.8771 0.3743 0.3743 1
Hg4 0.3743 0.8771 0.3743 1
Cd1 0.0000 0.0000 0.0000 1
# D(E_F) (states/eV per atom): 0.516
# VASP energy (eV per atom): -1.20
# Energy of formation (kcal/mol of atoms): -6.089


[4]
# BaCdHg | the Alexandria database | GGA-PBEsol | optimized geometry
data_BaCdHg
_chemical_formula_sum 'Ba1 Cd1 Hg1'
_cell_length_a 4.0555
_cell_length_b 4.0555
_cell_length_c 6.1920
_cell_angle_alpha 109.12
_cell_angle_beta 109.12
_cell_angle_gamma 90.00
_symmetry_space_group_name_H-M 'P 1'
_symmetry_Int_Tables_number 1
loop_
_symmetry_equiv_pos_as_xyz
'x,y,z'
loop_
_atom_site_label
_atom_site_fract_x
_atom_site_fract_y
_atom_site_fract_z
_atom_site_occupancy
Ba1 0.9985 0.9985 0.9970 1
Hg1 0.3138 0.3138 0.6276 1
Cd1 0.6877 0.6877 0.3754 1
# D(E_F) (states/eV per atom): 0.433
# VASP energy (eV per atom): -1.66
# Energy of formation (kcal/mol of atoms): -8.243


[5]
# BaCd3Hg | the Alexandria database | GGA-PBEsol | optimized geometry
data_BaCd3Hg
_chemical_formula_sum 'Ba1 Cd3 Hg1'
_cell_length_a 5.3665
_cell_length_b 5.3665
_cell_length_c 5.3665
_cell_angle_alpha 90.00
_cell_angle_beta 90.00
_cell_angle_gamma 90.00
_symmetry_space_group_name_H-M 'P 1'
_symmetry_Int_Tables_number 1
loop_
_symmetry_equiv_pos_as_xyz
'x,y,z'
loop_
_atom_site_label
_atom_site_fract_x
_atom_site_fract_y
_atom_site_fract_z
_atom_site_occupancy
Cd1 0.0000 0.5000 0.0000 1
Cd2 0.0000 0.0000 0.5000 1
Cd3 0.5000 0.0000 0.0000 1
Hg1 0.0000 0.0000 0.0000 1
Ba1 0.5000 0.5000 0.5000 1
# D(E_F) (states/eV per atom): 0.764
# VASP energy (eV per atom): -1.29
# Energy of formation (kcal/mol of atoms): -0.605


[6]
# Ba2CdHg | the Alexandria database | GGA-PBEsol | optimized geometry
data_Ba2CdHg
_chemical_formula_sum 'Ba2 Cd1 Hg1'
_cell_length_a 5.8309
_cell_length_b 5.8309
_cell_length_c 5.8309
_cell_angle_alpha 60.00
_cell_angle_beta 60.00
_cell_angle_gamma 60.00
_symmetry_space_group_name_H-M 'P 1'
_symmetry_Int_Tables_number 1
loop_
_symmetry_equiv_pos_as_xyz
'x,y,z'
loop_
_atom_site_label
_atom_site_fract_x
_atom_site_fract_y
_atom_site_fract_z
_atom_site_occupancy
Ba1 0.7500 0.7500 0.7500 1
Ba2 0.2500 0.2500 0.2500 1
Hg1 0.0000 0.0000 0.0000 1
Cd1 0.5000 0.5000 0.5000 1
# D(E_F) (states/eV per atom): 0.716
# VASP energy (eV per atom): -1.94
# Polymorph energy (0 for the lowest one) (eV per formula unit): 0.00
# Energy of formation (kcal/mol of atoms): -9.798


[7]
# BaCd4Hg | the Alexandria database | GGA-PBEsol | optimized geometry
data_BaCd4Hg
_chemical_formula_sum 'Ba1 Cd4 Hg1'
_cell_length_a 6.0226
_cell_length_b 6.0226
_cell_length_c 6.0226
_cell_angle_alpha 60.00
_cell_angle_beta 60.00
_cell_angle_gamma 60.00
_symmetry_space_group_name_H-M 'P 1'
_symmetry_Int_Tables_number 1
loop_
_symmetry_equiv_pos_as_xyz
'x,y,z'
loop_
_atom_site_label
_atom_site_fract_x
_atom_site_fract_y
_atom_site_fract_z
_atom_site_occupancy
Ba1 0.0000 0.0000 0.0000 1
Hg1 0.7500 0.7500 0.7500 1
Cd1 0.3759 0.3759 0.3759 1
Cd2 0.3759 0.3759 0.8722 1
Cd3 0.8722 0.3759 0.3759 1
Cd4 0.3759 0.8722 0.3759 1
# D(E_F) (states/eV per atom): 0.439
# VASP energy (eV per atom): -1.44
# Energy of formation (kcal/mol of atoms): -4.307


[8]
# BaCdHg | the Alexandria database | GGA-PBEsol | optimized geometry
data_BaCdHg
_chemical_formula_sum 'Ba1 Cd1 Hg1'
_cell_length_a 4.0216
_cell_length_b 5.1088
_cell_length_c 5.1088
_cell_angle_alpha 120.00
_cell_angle_beta 90.00
_cell_angle_gamma 90.00
_symmetry_space_group_name_H-M 'P 1'
_symmetry_Int_Tables_number 1
loop_
_symmetry_equiv_pos_as_xyz
'x,y,z'
loop_
_atom_site_label
_atom_site_fract_x
_atom_site_fract_y
_atom_site_fract_z
_atom_site_occupancy
Ba1 0.5000 0.0000 0.0000 1
Hg1 0.0000 0.6667 0.3333 1
Cd1 0.0000 0.3333 0.6667 1
# D(E_F) (states/eV per atom): 0.748
# VASP energy (eV per atom): -1.74
# Energy of formation (kcal/mol of atoms): -10.021


[9]
# BaCd2Hg2 | the Alexandria database | GGA-PBEsol | optimized geometry
data_BaCd2Hg2
_chemical_formula_sum 'Ba1 Cd2 Hg2'
_cell_length_a 4.6190
_cell_length_b 4.6190
_cell_length_c 7.1632
_cell_angle_alpha 108.81
_cell_angle_beta 108.81
_cell_angle_gamma 90.00
_symmetry_space_group_name_H-M 'P 1'
_symmetry_Int_Tables_number 1
loop_
_symmetry_equiv_pos_as_xyz
'x,y,z'
loop_
_atom_site_label
_atom_site_fract_x
_atom_site_fract_y
_atom_site_fract_z
_atom_site_occupancy
Ba1 0.0000 0.0000 0.0000 1
Hg1 0.3869 0.3869 0.7738 1
Hg2 0.6131 0.6131 0.2262 1
Cd1 0.2500 0.7500 0.5000 1
Cd2 0.7500 0.2500 0.5000 1
# D(E_F) (states/eV per atom): 0.556
# VASP energy (eV per atom): -1.51
# Energy of formation (kcal/mol of atoms): -8.620


[10]
# Ba3CdHg10 | the Alexandria database | GGA-PBEsol | optimized geometry
data_Ba3CdHg10
_chemical_formula_sum 'Ba3 Cd1 Hg10'
_cell_length_a 5.1361
_cell_length_b 9.3013
_cell_length_c 9.3013
_cell_angle_alpha 64.33
_cell_angle_beta 73.97
_cell_angle_gamma 73.97
_symmetry_space_group_name_H-M 'P 1'
_symmetry_Int_Tables_number 1
loop_
_symmetry_equiv_pos_as_xyz
'x,y,z'
loop_
_atom_site_label
_atom_site_fract_x
_atom_site_fract_y
_atom_site_fract_z
_atom_site_occupancy
Ba1 0.0000 0.0000 0.0000 1
Ba2 0.2941 0.7059 0.7059 1
Ba3 0.7059 0.2941 0.2941 1
Cd1 0.0000 0.5000 0.5000 1
Hg1 0.1396 0.1524 0.5684 1
Hg2 0.8604 0.8476 0.4316 1
Hg3 0.8604 0.4316 0.8476 1
Hg4 0.1396 0.5684 0.1524 1
Hg5 0.3413 0.0143 0.3032 1
Hg6 0.6587 0.9857 0.6968 1
Hg7 0.6587 0.6968 0.9857 1
Hg8 0.3413 0.3032 0.0143 1
Hg9 0.5000 0.6736 0.3264 1
Hg10 0.5000 0.3264 0.6736 1
# D(E_F) (states/eV per atom): 0.503
# VASP energy (eV per atom): -1.39
# Energy of formation (kcal/mol of atoms): -10.029


[11]
# Ba2CdI | the Alexandria database | GGA-PBEsol | optimized geometry
data_Ba2CdI
_chemical_formula_sum 'Ba2 Cd1 I1'
_cell_length_a 5.9758
_cell_length_b 5.9758
_cell_length_c 5.9758
_cell_angle_alpha 60.00
_cell_angle_beta 60.00
_cell_angle_gamma 60.00
_symmetry_space_group_name_H-M 'P 1'
_symmetry_Int_Tables_number 1
loop_
_symmetry_equiv_pos_as_xyz
'x,y,z'
loop_
_atom_site_label
_atom_site_fract_x
_atom_site_fract_y
_atom_site_fract_z
_atom_site_occupancy
I1 0.5000 0.5000 0.5000 1
Ba1 0.2500 0.2500 0.2500 1
Ba2 0.7500 0.7500 0.7500 1
Cd1 0.0000 0.0000 0.0000 1
# D(E_F) (states/eV per atom): 1.594
# VASP energy (eV per atom): -2.44
# Formation energy without anion corrections (eV per atom): -0.63


[12]
# BaCdIN2 | the Alexandria database | GGA-PBEsol | optimized geometry
data_BaCdIN2
_chemical_formula_sum 'Ba1 Cd1 I1 N2'
_cell_length_a 5.2311
_cell_length_b 5.2311
_cell_length_c 6.8769
_cell_angle_alpha 90.00
_cell_angle_beta 90.00
_cell_angle_gamma 90.00
_symmetry_space_group_name_H-M 'P 1'
_symmetry_Int_Tables_number 1
loop_
_symmetry_equiv_pos_as_xyz
'x,y,z'
loop_
_atom_site_label
_atom_site_fract_x
_atom_site_fract_y
_atom_site_fract_z
_atom_site_occupancy
I1 0.0000 0.0000 0.5000 1
N1 0.0000 0.5000 0.0000 1
N2 0.5000 0.0000 0.0000 1
Ba1 0.0000 0.0000 0.0000 1
Cd1 0.5000 0.5000 0.5000 1
# D(E_F) (states/eV per atom): 0.609
# VASP energy (eV per atom): -3.22
# Formation energy without anion corrections (eV per atom): 1.21


[13]
# BaTiCd2I | the Alexandria database | GGA-PBEsol | optimized geometry
data_BaTiCd2I
_chemical_formula_sum 'Ba1 Ti1 Cd2 I1'
_cell_length_a 5.8373
_cell_length_b 5.8373
_cell_length_c 6.2308
_cell_angle_alpha 90.00
_cell_angle_beta 90.00
_cell_angle_gamma 90.00
_symmetry_space_group_name_H-M 'P 1'
_symmetry_Int_Tables_number 1
loop_
_symmetry_equiv_pos_as_xyz
'x,y,z'
loop_
_atom_site_label
_atom_site_fract_x
_atom_site_fract_y
_atom_site_fract_z
_atom_site_occupancy
I1 0.0000 0.0000 0.0000 1
Ti1 0.5000 0.5000 0.5000 1
Ba1 0.0000 0.0000 0.5000 1
Cd1 0.0000 0.5000 0.0000 1
Cd2 0.5000 0.0000 0.0000 1
# D(E_F) (states/eV per atom): 1.416
# VASP energy (eV per atom): -2.05
# Formation energy without anion corrections (eV per atom): 0.87


[14]
# BaYCd2I | the Alexandria database | GGA-PBEsol | optimized geometry
data_BaYCd2I
_chemical_formula_sum 'Ba1 Y1 Cd2 I1'
_cell_length_a 5.7280
_cell_length_b 5.7662
_cell_length_c 5.7662
_cell_angle_alpha 90.00
_cell_angle_beta 90.00
_cell_angle_gamma 90.00
_symmetry_space_group_name_H-M 'P 1'
_symmetry_Int_Tables_number 1
loop_
_symmetry_equiv_pos_as_xyz
'x,y,z'
loop_
_atom_site_label
_atom_site_fract_x
_atom_site_fract_y
_atom_site_fract_z
_atom_site_occupancy
I1 0.5000 0.0000 0.0000 1
Y1 0.0000 0.0000 0.0000 1
Ba1 0.5000 0.5000 0.5000 1
Cd1 0.0000 0.0000 0.5000 1
Cd2 0.0000 0.5000 0.0000 1
# D(E_F) (states/eV per atom): 1.296
# VASP energy (eV per atom): -2.80
# Formation energy without anion corrections (eV per atom): -0.17


[15]
# BaCdIn2 | the Alexandria database | GGA-PBEsol | optimized geometry
data_BaCdIn2
_chemical_formula_sum 'Ba1 Cd1 In2'
_cell_length_a 4.8111
_cell_length_b 4.8111
_cell_length_c 6.7637
_cell_angle_alpha 69.17
_cell_angle_beta 69.17
_cell_angle_gamma 60.00
_symmetry_space_group_name_H-M 'P 1'
_symmetry_Int_Tables_number 1
loop_
_symmetry_equiv_pos_as_xyz
'x,y,z'
loop_
_atom_site_label
_atom_site_fract_x
_atom_site_fract_y
_atom_site_fract_z
_atom_site_occupancy
In1 0.2838 0.2838 0.1487 1
In2 0.7162 0.7162 0.8513 1
Ba1 0.5000 0.5000 0.5000 1
Cd1 0.0000 0.0000 0.0000 1
# D(E_F) (states/eV per atom): 0.495
# VASP energy (eV per atom): -2.66
# Energy of formation (kcal/mol of atoms): -7.623


[16]
# BaCdIn | the Alexandria database | GGA-PBEsol | optimized geometry
data_BaCdIn
_chemical_formula_sum 'Ba1 Cd1 In1'
_cell_length_a 5.3085
_cell_length_b 5.3085
_cell_length_c 5.3085
_cell_angle_alpha 60.00
_cell_angle_beta 60.00
_cell_angle_gamma 60.00
_symmetry_space_group_name_H-M 'P 1'
_symmetry_Int_Tables_number 1
loop_
_symmetry_equiv_pos_as_xyz
'x,y,z'
loop_
_atom_site_label
_atom_site_fract_x
_atom_site_fract_y
_atom_site_fract_z
_atom_site_occupancy
Cd1 0.5000 0.5000 0.5000 1
Ba1 0.0000 0.0000 0.0000 1
In1 0.2500 0.2500 0.2500 1
# D(E_F) (states/eV per atom): 1.523
# VASP energy (eV per atom): -2.24
# Energy of formation (kcal/mol of atoms): -3.009


[17]
# Ba2CdIn | the Alexandria database | GGA-PBEsol | optimized geometry
data_Ba2CdIn
_chemical_formula_sum 'Ba2 Cd1 In1'
_cell_length_a 4.0219
_cell_length_b 5.8021
_cell_length_c 6.0736
_cell_angle_alpha 90.00
_cell_angle_beta 90.00
_cell_angle_gamma 90.00
_symmetry_space_group_name_H-M 'P 1'
_symmetry_Int_Tables_number 1
loop_
_symmetry_equiv_pos_as_xyz
'x,y,z'
loop_
_atom_site_label
_atom_site_fract_x
_atom_site_fract_y
_atom_site_fract_z
_atom_site_occupancy
In1 0.5000 0.5000 0.1852 1
Ba1 0.0000 0.0000 0.0894 1
Ba2 0.0000 0.5000 0.6623 1
Cd1 0.5000 0.0000 0.5632 1
# D(E_F) (states/eV per atom): 0.675
# VASP energy (eV per atom): -2.48
# Energy of formation (kcal/mol of atoms): -8.291


[18]
# Ba2CdIn | the Alexandria database | GGA-PBEsol | optimized geometry
data_Ba2CdIn
_chemical_formula_sum 'Ba2 Cd1 In1'
_cell_length_a 4.1276
_cell_length_b 5.7911
_cell_length_c 6.8446
_cell_angle_alpha 114.98
_cell_angle_beta 107.55
_cell_angle_gamma 90.00
_symmetry_space_group_name_H-M 'P 1'
_symmetry_Int_Tables_number 1
loop_
_symmetry_equiv_pos_as_xyz
'x,y,z'
loop_
_atom_site_label
_atom_site_fract_x
_atom_site_fract_y
_atom_site_fract_z
_atom_site_occupancy
In1 0.2112 0.7117 0.4223 1
Ba1 0.9722 0.9719 0.9443 1
Ba2 0.7809 0.2811 0.5618 1
Cd1 0.5358 0.5353 0.0716 1
# D(E_F) (states/eV per atom): 0.744
# VASP energy (eV per atom): -2.45
# Energy of formation (kcal/mol of atoms): -7.720


[19]
# BaCdIn | the Alexandria database | GGA-PBEsol | optimized geometry
data_BaCdIn
_chemical_formula_sum 'Ba1 Cd1 In1'
_cell_length_a 4.1106
_cell_length_b 5.1499
_cell_length_c 5.1499
_cell_angle_alpha 120.00
_cell_angle_beta 90.00
_cell_angle_gamma 90.00
_symmetry_space_group_name_H-M 'P 1'
_symmetry_Int_Tables_number 1
loop_
_symmetry_equiv_pos_as_xyz
'x,y,z'
loop_
_atom_site_label
_atom_site_fract_x
_atom_site_fract_y
_atom_site_fract_z
_atom_site_occupancy
In1 0.5000 0.6667 0.3333 1
Ba1 0.0000 0.0000 0.0000 1
Cd1 0.5000 0.3333 0.6667 1
# D(E_F) (states/eV per atom): 0.603
# VASP energy (eV per atom): -2.51
# Energy of formation (kcal/mol of atoms): -9.124


[20]
# Ba2CdIn | the Alexandria database | GGA-PBEsol | optimized geometry
data_Ba2CdIn
_chemical_formula_sum 'Ba2 Cd1 In1'
_cell_length_a 4.1519
_cell_length_b 4.1519
_cell_length_c 8.3617
_cell_angle_alpha 90.00
_cell_angle_beta 90.00
_cell_angle_gamma 90.00
_symmetry_space_group_name_H-M 'P 1'
_symmetry_Int_Tables_number 1
loop_
_symmetry_equiv_pos_as_xyz
'x,y,z'
loop_
_atom_site_label
_atom_site_fract_x
_atom_site_fract_y
_atom_site_fract_z
_atom_site_occupancy
In1 0.5000 0.5000 0.5000 1
Ba1 0.0000 0.0000 0.7504 1
Ba2 0.0000 0.0000 0.2496 1
Cd1 0.5000 0.5000 0.0000 1
# D(E_F) (states/eV per atom): 0.615
# VASP energy (eV per atom): -2.48
# Energy of formation (kcal/mol of atoms): -8.269